(1)
First-principles (PBE-GGA) data for ZnCd8Ag2 after structural relaxation, as listed in Alexandria via LeMat-Bulk.

Calculated values
As for the density of states at the Fermi level: 2.8 states/eV/cell. As for the formation energy: 1.4 kJ per mole of atoms. For the uncorrected energy, the calculation gives -14.14 eV for the cell shown. For the volume, the calculation gives 231.2 Å³ per cell. The calculation puts the relative energy among the computed polymorphs at 0 meV/atom.

Cell and atoms, written as POSCAR:
```
ZnCd8Ag2
1.0
3.9693 0.0000 -1.1410
-0.5803 7.1484 -2.0186
0.1012 0.9525 7.8264
Cd Ag Zn
8 2 1
Direct
0.1423 0.2048 0.2846
0.5959 0.4756 0.1919
0.3205 0.0828 0.6410
0.9559 0.2529 0.9119
0.4041 0.5244 0.8081
0.8577 0.7952 0.7154
0.0441 0.7471 0.0881
0.6795 0.9172 0.3590
0.7742 0.3625 0.5484
0.2258 0.6375 0.4516
0.5000 0.0000 0.0000
```

=====

(2)
First-principles (PBE-GGA) data for ZrPRu2 after structural relaxation, as listed in Alexandria via LeMat-Bulk.

Calculated values
As for the density of states at the Fermi level: 1.6 states/eV/cell. As for the formation energy: -42.4 kJ per mole of atoms. For the uncorrected energy, the calculation gives -34.27 eV for the cell shown. For the volume, the calculation gives 60.3 Å³ per cell.

Cell and atoms, written as POSCAR:
```
ZrPRu2
1.0
-2.3008 1.6932 -3.0671
1.3025 -2.9929 -2.6294
-2.6622 -1.9617 0.9141
Ru P Zr
2 1 1
Direct
0.5000 0.0000 0.0000
0.0000 0.5000 0.0000
0.0000 0.0000 0.5000
0.5000 0.5000 0.5000
```

=====

(3)
First-principles (PBE-GGA) data for SmDy3Tm2Bi6 after structural relaxation, as listed in Alexandria via LeMat-Bulk.

Calculated values
As for the density of states at the Fermi level: 2.0 states/eV/cell. As for the formation energy: -81.3 kJ per mole of atoms. For the uncorrected energy, the calculation gives -60.86 eV for the cell shown. For the volume, the calculation gives 380.3 Å³ per cell.

Cell and atoms, written as POSCAR:
```
SmDy3Tm2Bi6
1.0
-0.0707 -4.0183 -1.9689
5.7807 2.9251 -6.1776
5.8425 -1.5200 7.9786
Bi Tm Sm Dy
6 2 1 3
Direct
0.9986 0.7454 0.9973
0.3326 0.4187 0.6653
0.0014 0.2546 0.0027
0.6685 0.0864 0.3371
0.6674 0.5813 0.3347
0.3315 0.9136 0.6629
0.1671 0.3335 0.3343
0.8329 0.6665 0.6657
0.5000 0.0000 0.0000
0.1654 0.8325 0.3308
0.5000 0.5000 0.0000
0.8346 0.1675 0.6692
```